Density functional theory data (PBE) for crystalline ErGaPb2 at its relaxed geometry.

The relative energy among the computed polymorphs is 0 meV/atom. The volume comes out at 104 Å³/cell. As for the space group: P4/mmm. The formation energy is -0.271 eV per atom.

Cell: 4.793 4.650 4.650 Å, 90.00 90.00 90.00°
Sites, in units of the cell vectors:
1 Ga 0.500 0.000 0.000
2 Er 0.500 0.500 0.500
3 Pb 0.000 0.000 0.500
4 Pb 0.000 0.500 0.000